Record 1
Material: CaTi2Tl2
Method: DFT, PBE-GGA
State: relaxed

Cell and atoms, written as CIF:
```
data_CaTi2Tl2
_chemical_formula_sum 'Ca2 Ti4 Tl4'
_cell_length_a 8.5365
_cell_length_b 8.5365
_cell_length_c 3.1675
_cell_angle_alpha 90.00
_cell_angle_beta 90.00
_cell_angle_gamma 90.00
_space_group_name_H-M_alt 'P 1'
_space_group_IT_number 1
_space_group_name_Hall 'P 1'
loop_
_atom_site_label
_atom_site_type_symbol
_atom_site_fract_x
_atom_site_fract_y
_atom_site_fract_z
Ti1 Ti 0.3886 0.8886 0.0000
Ti2 Ti 0.1114 0.3886 0.0000
Ti3 Ti 0.8886 0.6114 0.0000
Ca1 Ca 0.5000 0.5000 0.0000
Tl1 Tl 0.8177 0.3177 0.5000
Tl2 Tl 0.1823 0.6823 0.5000
Ca2 Ca 0.0000 0.0000 0.0000
Ti4 Ti 0.6114 0.1114 0.0000
Tl3 Tl 0.6823 0.8177 0.5000
Tl4 Tl 0.3177 0.1823 0.5000
```

* ΔE to the lowest computed polymorph: 0.00 eV/f.u.
* energy: -44.4 eV/cell
* ΔH_f (0 K): 0.066 eV/atom

Record 2
Material: AcNdGdSn
Method: DFT, PBE-GGA
State: relaxed

Cell and atoms, written as CIF:
```
data_AcNdGdSn
_chemical_formula_sum 'Ac1 Nd1 Gd1 Sn1'
_cell_length_a 5.6426
_cell_length_b 5.6426
_cell_length_c 5.6426
_cell_angle_alpha 60.00
_cell_angle_beta 60.00
_cell_angle_gamma 60.00
_space_group_name_H-M_alt 'P 1'
_space_group_IT_number 1
_space_group_name_Hall 'P 1'
loop_
_atom_site_label
_atom_site_type_symbol
_atom_site_fract_x
_atom_site_fract_y
_atom_site_fract_z
Gd1 Gd 0.0000 0.0000 0.0000
Nd1 Nd 0.5000 0.5000 0.5000
Sn1 Sn 0.2500 0.2500 0.2500
Ac1 Ac 0.7500 0.7500 0.7500
```

* energy: -27.8 eV/cell
* ΔH_f (0 K): -0.212 eV/atom

Record 3
Material: HfInCoCu
Method: DFT, PBE-GGA
State: relaxed

Cell and atoms, written as CIF:
```
data_HfInCoCu
_chemical_formula_sum 'Hf1 In1 Co1 Cu1'
_cell_length_a 4.4747
_cell_length_b 4.4747
_cell_length_c 4.4747
_cell_angle_alpha 60.00
_cell_angle_beta 60.00
_cell_angle_gamma 60.00
_space_group_name_H-M_alt 'P 1'
_space_group_IT_number 1
_space_group_name_Hall 'P 1'
loop_
_atom_site_label
_atom_site_type_symbol
_atom_site_fract_x
_atom_site_fract_y
_atom_site_fract_z
Hf1 Hf 0.0000 0.0000 0.0000
In1 In 0.5000 0.5000 0.5000
Co1 Co 0.7500 0.7500 0.7500
Cu1 Cu 0.2500 0.2500 0.2500
```

* energy: -24.6 eV/cell
* ΔH_f (0 K): -0.180 eV/atom

The lowest energy belongs to which entry?
CaTi2Tl2